Entry 1:
A geometry-optimized LaNdNpO6 structure. Source: Alexandria via LeMat-Bulk, functional PBE.

```
18
Lattice="5.958 0.000 0.000 -2.979 5.160 0.000 0.000 0.000 9.713" Properties=species:S:1:pos:R:3 pbc="T T T"
La 0.000 0.000 0.000
La 0.000 0.000 4.857
Nd 0.000 3.440 2.428
Nd 2.979 1.720 7.285
Np 0.000 3.440 7.285
Np 2.979 1.720 2.428
O -0.881 1.911 6.176
O -1.765 3.442 8.394
O 0.881 1.911 8.394
O -0.884 4.967 6.176
O 2.095 0.193 1.319
O 1.215 1.718 3.537
O 1.765 3.442 6.176
O 0.884 4.967 8.394
O 3.863 0.193 3.537
O 2.099 3.249 1.319
O 4.744 1.718 1.319
O 3.860 3.249 3.537
```

total energy	-80.83	eV per formula unit

Entry 2:
A geometry-optimized Nd5AlPd2 structure. Source: Alexandria via LeMat-Bulk, functional PBE.

```
16
Lattice="-4.036 4.036 6.807 4.036 -4.036 6.807 4.036 4.036 -6.807" Properties=species:S:1:pos:R:3 pbc="T T T"
Nd 0.000 0.000 0.000
Nd 5.337 1.301 -1.960
Nd 1.301 2.735 -1.960
Nd 5.337 1.301 1.960
Nd 1.301 2.735 1.960
Nd 0.000 0.000 6.807
Nd 2.735 1.301 4.847
Nd -1.301 2.735 4.847
Nd 2.735 1.301 8.767
Nd -1.301 2.735 8.767
Al 0.000 0.000 3.403
Al 0.000 0.000 10.210
Pd 2.989 1.047 0.000
Pd 2.989 -1.047 6.807
Pd 1.047 5.083 0.000
Pd 1.047 2.989 6.807
```

total energy	-41.72	eV per formula unit

Entry 3:
A geometry-optimized RbAgBr2Cl structure. Source: Alexandria via LeMat-Bulk, functional PBE.

```
5
Lattice="5.427 0.000 0.000 0.000 5.427 0.000 0.000 0.000 5.186" Properties=species:S:1:pos:R:3 pbc="T T T"
Rb 0.000 0.000 0.000
Ag 2.713 2.713 2.593
Br 0.000 2.713 2.593
Br 2.713 0.000 2.593
Cl 2.713 2.713 0.000
```

total energy	-13.62	eV per formula unit

Entry 4:
A geometry-optimized Ho7Ga2Hg2 structure. Source: Alexandria via LeMat-Bulk, functional PBE.

```
11
Lattice="3.761 -5.394 0.000 3.761 5.394 0.000 0.000 0.000 7.732" Properties=species:S:1:pos:R:3 pbc="T T T"
Ho 0.000 0.000 0.000
Ho 1.880 2.697 2.263
Ho 1.880 2.697 5.468
Ho 1.880 -2.697 2.263
Ho 1.880 -2.697 5.468
Ho 3.761 0.000 2.121
Ho 3.761 0.000 5.610
Ga 1.280 0.000 3.866
Ga 6.242 0.000 3.866
Hg 3.761 2.226 0.000
Hg 3.761 -2.226 0.000
```

total energy	-39.92	eV per formula unit

Entry 5:
A geometry-optimized PaCo3Ni2 structure. Source: Alexandria via LeMat-Bulk, functional PBE.

```
6
Lattice="4.817 0.000 0.000 -2.409 4.172 0.000 0.000 0.000 4.021" Properties=species:S:1:pos:R:3 pbc="T T T"
Pa 0.000 0.000 0.000
Co -1.204 2.086 2.011
Co 2.409 0.000 2.011
Co 1.204 2.086 2.011
Ni 0.000 2.781 0.000
Ni 2.409 1.391 0.000
```

total energy	-43.98	eV per formula unit

Entry 6:
A geometry-optimized ZrIn3Au structure. Source: Alexandria via LeMat-Bulk, functional PBE.

```
5
Lattice="5.211 0.000 0.000 0.000 5.211 0.000 0.000 0.000 5.211" Properties=species:S:1:pos:R:3 pbc="T T T"
Zr 0.000 0.000 0.000
In 0.000 2.605 2.605
In 2.605 0.000 2.605
In 2.605 2.605 0.000
Au 2.605 2.605 2.605
```

total energy	-17.44	eV per formula unit

Entry 7:
A geometry-optimized LiSmThRe structure. Source: Alexandria via LeMat-Bulk, functional PBE.

```
4
Lattice="0.000 3.575 3.575 3.575 0.000 3.575 3.575 3.575 0.000" Properties=species:S:1:pos:R:3 pbc="T T T"
Li 0.000 0.000 0.000
Sm 1.788 1.788 1.788
Th 5.363 5.363 5.363
Re 3.575 3.575 3.575
```

total energy	-26.25	eV per formula unit

Entry 8:
A geometry-optimized V3GaGe2 structure. Source: Alexandria via LeMat-Bulk, functional PBE.

```
12
Lattice="6.667 -2.625 0.000 6.667 2.625 0.000 -0.537 0.000 4.887" Properties=species:S:1:pos:R:3 pbc="T T T"
V 6.264 2.166 3.665
V 3.883 0.756 4.479
V 4.152 -0.756 2.036
V 8.645 0.756 2.851
V 8.913 -0.756 0.407
V 6.533 -2.166 1.222
Ga 6.533 0.491 1.222
Ga 6.264 -0.491 3.665
Ge 1.849 0.756 2.853
Ge 2.118 -0.756 0.409
Ge 10.679 0.756 4.477
Ge 10.947 -0.756 2.034
```

total energy	-40.44	eV per formula unit

Entry 9:
A geometry-optimized Sc4GaPd7 structure. Source: Alexandria via LeMat-Bulk, functional PBE.

```
12
Lattice="5.271 -2.435 0.000 5.271 2.435 0.000 -4.417 0.000 8.590" Properties=species:S:1:pos:R:3 pbc="T T T"
Sc -0.301 0.000 2.399
Sc -0.819 0.000 7.322
Sc 6.944 0.000 1.268
Sc 6.426 0.000 6.190
Ga 3.062 0.000 4.295
Pd -2.209 0.000 4.295
Pd 1.323 0.000 0.168
Pd 0.524 0.000 5.022
Pd 3.585 0.000 1.669
Pd 2.540 0.000 6.920
Pd 5.601 0.000 3.568
Pd 4.802 0.000 8.421
```

total energy	-72.72	eV per formula unit

Entry 10:
A geometry-optimized InTe2CI structure. Source: Alexandria via LeMat-Bulk, functional PBE.

```
5
Lattice="4.930 0.000 0.000 0.000 4.930 0.000 0.000 0.000 5.218" Properties=species:S:1:pos:R:3 pbc="T T T"
In 0.000 0.000 0.000
Te 0.000 2.465 2.609
Te 2.465 0.000 2.609
C 2.465 2.465 2.609
I 2.465 2.465 0.000
```

total energy	-15.40	eV per formula unit

Entry 11:
A geometry-optimized LaFeW2 structure. Source: Alexandria via LeMat-Bulk, functional PBE.

```
4
Lattice="0.000 3.304 3.304 3.304 0.000 3.304 3.304 3.304 0.000" Properties=species:S:1:pos:R:3 pbc="T T T"
La 0.000 0.000 0.000
Fe 1.652 1.652 1.652
W 3.304 3.304 3.304
W 4.956 4.956 4.956
```

total energy	-36.63	eV per formula unit

Entry 12:
A geometry-optimized Zr5Ga2Si2 structure. Source: Alexandria via LeMat-Bulk, functional PBE.

```
18
Lattice="6.888 -3.575 0.000 6.888 3.575 0.000 0.000 0.000 7.138" Properties=species:S:1:pos:R:3 pbc="T T T"
Zr 0.000 0.000 0.000
Zr 5.075 2.295 4.823
Zr 5.075 1.279 1.254
Zr 8.701 2.295 4.823
Zr 8.701 1.279 1.254
Zr 6.888 0.000 3.569
Zr 5.075 -1.279 5.884
Zr 5.075 -2.295 2.315
Zr 8.701 -1.279 5.884
Zr 8.701 -2.295 2.315
Ga 2.912 0.000 0.000
Ga 3.976 0.000 3.569
Ga 9.800 0.000 3.569
Ga 10.864 0.000 0.000
Si 6.888 2.707 2.692
Si 6.888 0.867 6.261
Si 6.888 -0.867 0.877
Si 6.888 -2.707 4.446
```

total energy	-65.98	eV per formula unit

Entry 13:
A geometry-optimized PrZrSc structure. Source: Alexandria via LeMat-Bulk, functional PBE.

```
3
Lattice="-1.651 1.651 7.520 1.651 -1.651 7.520 1.651 1.651 -7.520" Properties=species:S:1:pos:R:3 pbc="T T T"
Pr 0.000 0.000 0.000
Zr 0.000 0.000 4.902
Sc 0.000 0.000 10.299
```

total energy	-19.37	eV per formula unit